# 1
The following is a PBE calculation of a relaxed structure of SrHg2Rh, from Alexandria via LeMat-Bulk.

Properties
Energy of formation from the pure elements   -14.06 kJ per mole of atoms
Calculated total energy   -2.555 eV per atom

abc: 3.595 4.697 5.995
angles: 90.00 106.28 90.00
Space group P2/m (No. 10)
Inequivalent atoms, fractional coordinates:
Sr1 0.000 0.000 0.000
Hg1 0.351 0.500 0.716
Rh1 0.500 0.000 0.500



# 2
The following is a PBE calculation of a relaxed structure of SmTm4Pd2, from Alexandria via LeMat-Bulk.

Properties
Energy of formation from the pure elements   -43.79 kJ per mole of atoms
Calculated total energy   -5.167 eV per atom
Distance to the lowest polymorph of the same formula   0.0 kJ per mole of atoms

abc: 7.778 6.364 8.021
angles: 90.00 112.43 90.00
Space group P2_1/m (No. 11)
Inequivalent atoms, fractional coordinates:
Sm1 0.151 0.250 0.020
Tm1 0.022 0.250 0.395
Tm2 0.250 0.750 0.350
Tm3 0.405 0.003 0.766
Pd1 0.257 0.750 0.995
Pd2 0.383 0.250 0.420



Number 1: Fermi-level density of states 2.0 states/eV per cell, calculated density 10.11 Mg/m³. Number 2: Fermi-level density of states 19.0 states/eV per cell, calculated density 9.40 Mg/m³.